Below is a relaxed LuMgAuS3 crystal, with properties calculated at the GGA-PBE level.

Calculated values
- Calculated total energy: -115.96 eV/cell
- Size of the total moment: 0.0022 μB/atom

Geometry as CIF:
```
data_LuMgAuS3
_cell_length_a 3.911
_cell_length_b 13.432
_cell_length_c 10.098
_cell_angle_alpha 90.00
_cell_angle_beta 90.00
_cell_angle_gamma 90.00
_space_group_name_H-M_alt 'C m c m'
_space_group_IT_number 63
_space_group_name_Hall '-C 2c 2'
loop_
_atom_site_label
_atom_site_fract_x
_atom_site_fract_y
_atom_site_fract_z
_atom_site_occupancy
Lu1 0.000 0.000 0.000 1
Mg1 0.000 0.319 0.250 1
Au1 0.000 0.344 0.750 1
S1 0.000 0.066 0.750 1
S2 0.000 0.363 0.521 1
```